[1]
VASP calculation (PBE-GGA) on crystalline CeSbIO4 at its relaxed geometry.

## Properties
- Energy relative to the elements, uncorrected: -181 kJ/mol of atoms
- Energy: -6.364 eV per atom
- Volume: 19.9 Å³/atom

Lattice parameters (Å, degrees): 7.105 7.105 6.836 71.31 71.31 60.58
Each line ends with the local moment (μB).
Fractional coordinates of all 14 atoms:
Ce 0.257 0.257 0.843  0.35
Ce 0.743 0.743 0.157  0.35
Sb 0.619 0.619 0.790  0.00
Sb 0.381 0.381 0.210  0.00
I 0.994 0.994 0.257  -0.02
I 0.006 0.006 0.743  -0.02
O 0.338 0.338 0.509  -0.01
O 0.662 0.662 0.491  -0.01
O 0.088 0.484 0.162  -0.01
O 0.551 0.551 0.132  0.00
O 0.516 0.912 0.838  -0.01
O 0.484 0.088 0.162  -0.01
O 0.449 0.449 0.868  0.00
O 0.912 0.516 0.838  -0.01

[2]
VASP calculation (PBE-GGA) on crystalline Li2Pm3Ir7 at its relaxed geometry.

## Properties
- Calculated formation energy: -540 meV per atom
- Energy: -7.215 eV per atom
- Volume: 17.8 Å³/atom

Lattice parameters (Å, degrees): 5.396 5.396 9.030 72.61 72.61 60.00
Fractional coordinates of all 12 atoms:
Li 0.664 0.664 0.007
Li 0.336 0.336 0.993
Pm 0.000 0.000 0.000
Pm 0.859 0.859 0.423
Pm 0.141 0.141 0.577
Ir 0.500 0.500 0.500
Ir 0.923 0.415 0.248
Ir 0.415 0.923 0.248
Ir 0.415 0.415 0.248
Ir 0.077 0.585 0.752
Ir 0.585 0.585 0.752
Ir 0.585 0.077 0.752

[3]
VASP calculation (PBE-GGA) on crystalline AcMg2Ni at its relaxed geometry.

## Properties
- Calculated formation energy: -212 meV per atom
- Energy: -3.482 eV per atom
- Volume: 23.9 Å³/atom

Lattice parameters (Å, degrees): 4.246 5.776 8.398 90.00 90.00 111.60
Fractional coordinates of all 8 atoms:
Ac 0.442 0.885 0.250
Ac 0.558 0.115 0.750
Mg 0.161 0.321 0.442
Mg 0.839 0.679 0.558
Mg 0.839 0.679 0.942
Mg 0.161 0.321 0.058
Ni 0.727 0.454 0.250
Ni 0.273 0.546 0.750

[4]
VASP calculation (PBE-GGA) on crystalline InAg2Ir at its relaxed geometry.

## Properties
- Calculated formation energy: 245 meV per atom
- Energy: -4.081 eV per atom
- Volume: 17.8 Å³/atom

Lattice parameters (Å, degrees): 5.070 5.070 3.014 90.00 90.00 113.23
Fractional coordinates of all 4 atoms:
Ir 0.000 0.500 0.500
Ag 0.000 0.000 0.000
Ag 0.500 0.500 0.000
In 0.500 0.000 0.500

[5]
VASP calculation (PBE-GGA) on crystalline HfNbRh at its relaxed geometry.

## Properties
- Calculated formation energy: -398 meV per atom
- Energy: -9.523 eV per atom
- Volume: 18.4 Å³/atom
- Offset from the most stable computed form: 50 meV per atom

Lattice parameters (Å, degrees): 3.332 3.295 10.190 99.30 90.00 90.00
Fractional coordinates of all 6 atoms:
Hf 0.060 0.153 0.305
Hf 0.060 0.989 0.979
Nb 0.560 0.402 0.804
Nb 0.060 0.826 0.652
Rh 0.560 0.572 0.143
Rh 0.560 0.721 0.442

[6]
VASP calculation (PBE-GGA) on crystalline PmSmInRh at its relaxed geometry.

## Properties
- Calculated formation energy: -472 meV per atom
- Energy: -5.361 eV per atom
- Volume: 25.1 Å³/atom

Lattice parameters (Å, degrees): 5.214 5.214 5.214 60.00 60.00 60.00
Fractional coordinates of all 4 atoms:
In 0.500 0.500 0.500
Rh 0.000 0.000 0.000
Sm 0.250 0.250 0.250
Pm 0.750 0.750 0.750